Compound: Zn3PAu
Source: Alexandria via LeMat-Bulk
Functional: PBE
Structure: relaxed

The calculation puts the energy relative to the lowest polymorph listed for this composition at 0.00 eV/f.u. Its crystal system is cubic. Its space group is No. 221. The raw total energy is -2.1799 eV per atom. The density is 6.89 Mg/m³.

a b c (Å): 4.675 4.675 4.675
angles (deg): 90.00 90.00 90.00
Sites, in units of the cell vectors:
Zn 0.000 0.000 0.500
Zn 0.500 0.000 0.000
P 0.000 0.000 0.000
Zn 0.000 0.500 0.000
Au 0.500 0.500 0.500